Entry from Alexandria via LeMat-Bulk: a geometry-optimized CaPa2Bi5 structure (PBE-GGA).

Theoretical density ... 10.3 g/cm3
Calculated volume ... 497.17 Å³/cell
E_form ... -0.26 eV per atom
Space-group type ... Pbam

Unit cell a=8.178 b=13.401 c=4.537 alpha=90.00 beta=90.00 gamma=90.00
Fractional positions:
Ca (0.000, 0.000, 0.000)
Ca (0.500, 0.500, 0.000)
Pa (0.108, 0.320, 0.500)
Pa (0.392, 0.820, 0.500)
Pa (0.608, 0.180, 0.500)
Pa (0.892, 0.680, 0.500)
Bi (0.000, 0.500, 0.000)
Bi (0.121, 0.780, 0.000)
Bi (0.245, 0.076, 0.500)
Bi (0.255, 0.576, 0.500)
Bi (0.379, 0.280, 0.000)
Bi (0.500, 0.000, 0.000)
Bi (0.621, 0.720, 0.000)
Bi (0.745, 0.424, 0.500)
Bi (0.755, 0.924, 0.500)
Bi (0.879, 0.220, 0.000)

=====

Entry from Alexandria via LeMat-Bulk: a geometry-optimized CaPaBi6 structure (PBE-GGA).

Theoretical density ... 10.5 g/cm3
Calculated volume ... 242.32 Å³/cell
E_form ... -0.25 eV per atom
Space-group type ... P4/mmm

Unit cell a=4.839 b=4.839 c=10.349 alpha=90.00 beta=90.00 gamma=90.00
Fractional positions:
Ca (0.000, 0.000, 0.000)
Pa (0.000, 0.000, 0.500)
Bi (0.000, 0.500, 0.256)
Bi (0.000, 0.500, 0.744)
Bi (0.500, 0.000, 0.256)
Bi (0.500, 0.000, 0.744)
Bi (0.500, 0.500, 0.000)
Bi (0.500, 0.500, 0.500)

=====

Entry from Alexandria via LeMat-Bulk: a geometry-optimized CaPaBi structure (PBE-GGA).

Theoretical density ... 8.2 g/cm3
Calculated volume ... 194.37 Å³/cell
E_form ... -0.18 eV per atom
Space-group type ... I4/mmm

Unit cell a=13.080 b=13.080 c=13.080 alpha=162.86 beta=162.86 gamma=24.33
Fractional positions:
Ca (0.073, 0.073, 0.000)
Ca (0.927, 0.927, 0.000)
Pa (0.228, 0.228, 0.000)
Pa (0.772, 0.772, 0.000)
Bi (0.352, 0.352, 0.000)
Bi (0.648, 0.648, 0.000)

=====

Entry from Alexandria via LeMat-Bulk: a geometry-optimized CaPa2Bi3 structure (PBE-GGA).

Theoretical density ... 9.2 g/cm3
Calculated volume ... 405.81 Å³/cell
E_form ... -0.23 eV per atom
Space-group type ... C2/m

Unit cell a=8.825 b=8.825 c=10.962 alpha=105.49 beta=105.49 gamma=29.65
Fractional positions:
Ca (0.000, 0.000, 0.000)
Ca (0.500, 0.500, 0.500)
Pa (0.168, 0.168, 0.817)
Pa (0.329, 0.329, 0.678)
Pa (0.671, 0.671, 0.322)
Pa (0.832, 0.832, 0.183)
Bi (0.142, 0.142, 0.516)
Bi (0.193, 0.193, 0.124)
Bi (0.471, 0.471, 0.198)
Bi (0.529, 0.529, 0.802)
Bi (0.807, 0.807, 0.876)
Bi (0.858, 0.858, 0.484)

=====

Entry from Alexandria via LeMat-Bulk: a geometry-optimized CaPaBi2 structure (PBE-GGA).

Theoretical density ... 8.4 g/cm3
Calculated volume ... 136.46 Å³/cell
E_form ... -0.40 eV per atom
Space-group type ... R3m
E above lowest polymorph ... 0.056 eV/atom

Unit cell a=8.166 b=8.166 c=8.166 alpha=32.08 beta=32.08 gamma=32.08
Fractional positions:
Ca (0.000, 0.000, 0.000)
Pa (0.171, 0.171, 0.171)
Bi (0.582, 0.582, 0.582)
Bi (0.758, 0.758, 0.758)

=====

Entry from Alexandria via LeMat-Bulk: a geometry-optimized CaPaBi2 structure (PBE-GGA).

Theoretical density ... 9.6 g/cm3
Calculated volume ... 118.96 Å³/cell
E_form ... -0.28 eV per atom
Space-group type ... Fm-3m
E above lowest polymorph ... 0.175 eV/atom

Unit cell a=5.520 b=5.520 c=5.520 alpha=60.00 beta=60.00 gamma=60.00
Fractional positions:
Ca (0.000, 0.000, 0.000)
Pa (0.500, 0.500, 0.500)
Bi (0.250, 0.250, 0.250)
Bi (0.750, 0.750, 0.750)

=====

Entry from Alexandria via LeMat-Bulk: a geometry-optimized Ca3PaBi4 structure (PBE-GGA).

Theoretical density ... 7.2 g/cm3
Calculated volume ... 545.43 Å³/cell
E_form ... -0.59 eV per atom
Space-group type ... P2/c

Unit cell a=7.823 b=9.254 c=8.020 alpha=90.00 beta=110.04 gamma=90.00
Fractional positions:
Ca (0.000, 0.122, 0.250)
Ca (0.000, 0.372, 0.750)
Ca (0.000, 0.628, 0.250)
Ca (0.000, 0.878, 0.750)
Ca (0.500, 0.125, 0.750)
Ca (0.500, 0.875, 0.250)
Pa (0.500, 0.369, 0.250)
Pa (0.500, 0.631, 0.750)
Bi (0.256, 0.132, 0.009)
Bi (0.256, 0.868, 0.509)
Bi (0.266, 0.385, 0.500)
Bi (0.266, 0.615, 0.000)
Bi (0.734, 0.385, 0.000)
Bi (0.734, 0.615, 0.500)
Bi (0.744, 0.132, 0.491)
Bi (0.744, 0.868, 0.991)

=====

Entry from Alexandria via LeMat-Bulk: a geometry-optimized CaPaBi2 structure (PBE-GGA).

Theoretical density ... 8.6 g/cm3
Calculated volume ... 133.72 Å³/cell
E_form ... -0.45 eV per atom
Space-group type ... R-3m
E above lowest polymorph ... 0.000 eV/atom

Unit cell a=7.946 b=7.946 c=7.946 alpha=33.18 beta=33.18 gamma=33.18
Fractional positions:
Ca (0.000, 0.000, 0.000)
Pa (0.500, 0.500, 0.500)
Bi (0.247, 0.247, 0.247)
Bi (0.753, 0.753, 0.753)

=====

Entry from Alexandria via LeMat-Bulk: a geometry-optimized CaPaBi2 structure (PBE-GGA).

Theoretical density ... 9.5 g/cm3
Calculated volume ... 120.24 Å³/cell
E_form ... -0.37 eV per atom
Space-group type ... P4/mmm
E above lowest polymorph ... 0.088 eV/atom

Unit cell a=3.894 b=3.894 c=7.930 alpha=90.00 beta=90.00 gamma=90.00
Fractional positions:
Ca (0.000, 0.000, 0.000)
Pa (0.000, 0.000, 0.500)
Bi (0.500, 0.500, 0.264)
Bi (0.500, 0.500, 0.736)

=====

Entry from Alexandria via LeMat-Bulk: a geometry-optimized Ca2PaBi3 structure (PBE-GGA).

Theoretical density ... 7.7 g/cm3
Calculated volume ... 812.29 Å³/cell
E_form ... -0.60 eV per atom
Space-group type ... Fddd

Unit cell a=15.216 b=14.507 c=7.914 alpha=79.57 beta=69.66 gamma=30.76
Fractional positions:
Ca (0.044, 0.044, 0.206)
Ca (0.123, 0.123, 0.627)
Ca (0.206, 0.206, 0.044)
Ca (0.373, 0.373, 0.877)
Ca (0.627, 0.627, 0.123)
Ca (0.794, 0.794, 0.956)
Ca (0.877, 0.877, 0.373)
Ca (0.956, 0.956, 0.794)
Pa (0.291, 0.291, 0.459)
Pa (0.459, 0.459, 0.291)
Pa (0.541, 0.541, 0.709)
Pa (0.709, 0.709, 0.541)
Bi (0.040, 0.537, 0.225)
Bi (0.140, 0.610, 0.610)
Bi (0.225, 0.698, 0.040)
Bi (0.302, 0.775, 0.463)
Bi (0.390, 0.860, 0.860)
Bi (0.463, 0.960, 0.302)
Bi (0.537, 0.040, 0.698)
Bi (0.610, 0.140, 0.140)
Bi (0.698, 0.225, 0.537)
Bi (0.775, 0.302, 0.960)
Bi (0.860, 0.390, 0.390)
Bi (0.960, 0.463, 0.775)

=====

Entry from Alexandria via LeMat-Bulk: a geometry-optimized CaPa2Bi9 structure (PBE-GGA).

Theoretical density ... 11.0 g/cm3
Calculated volume ... 359.72 Å³/cell
E_form ... -0.20 eV per atom
Space-group type ... P4/mmm

Unit cell a=4.887 b=4.887 c=15.063 alpha=90.00 beta=90.00 gamma=90.00
Fractional positions:
Ca (0.000, 0.000, 0.000)
Pa (0.000, 0.000, 0.340)
Pa (0.000, 0.000, 0.660)
Bi (0.000, 0.500, 0.174)
Bi (0.000, 0.500, 0.500)
Bi (0.000, 0.500, 0.826)
Bi (0.500, 0.000, 0.174)
Bi (0.500, 0.000, 0.500)
Bi (0.500, 0.000, 0.826)
Bi (0.500, 0.500, 0.000)
Bi (0.500, 0.500, 0.334)
Bi (0.500, 0.500, 0.666)

=====

Entry from Alexandria via LeMat-Bulk: a geometry-optimized CaPaBi4Pb2 structure (PBE-GGA).

Theoretical density ... 9.1 g/cm3
Calculated volume ... 277.24 Å³/cell
E_form ... -0.14 eV per atom
Space-group type ... I-4m2

Unit cell a=8.033 b=8.033 c=8.033 alpha=132.41 beta=132.41 gamma=69.59
Fractional positions:
Ca (0.000, 0.000, 0.000)
Pa (0.250, 0.750, 0.500)
Bi (0.013, 0.513, 0.500)
Bi (0.249, 0.249, 0.000)
Bi (0.487, 0.987, 0.500)
Bi (0.751, 0.751, 0.000)
Pb (0.500, 0.500, 0.000)
Pb (0.750, 0.250, 0.500)